VASP calculation (PBE-GGA) on TiBr after structural relaxation.

The structure belongs to space group C2/m (No. 12); the cell edges are 5.724, 3.303 and 10.176 Å and the angles 90.00°, 103.28° and 90.00°. The inequivalent atoms are Ti at (0.121, 0.000, 0.390) and Br at (0.213, 0.500, 0.208).

The value obtained for the density of states at the Fermi level is 1.21 states/eV/f.u. For the mass density, the calculation gives 4532 kg/m3. Its total DFT energy (no corrections) is -5.497 eV/atom. The uncorrected formation energy is -0.7134 eV/atom.